Entry 1:
This record from Alexandria describes crystalline Pr8TlSn2 at its relaxed geometry. The functional is PBE.

Cell and atoms, written as CIF:
```
data_Pr8TlSn2
_symmetry_space_group_name_H-M 'C 1 2/m 1'
_symmetry_Int_Tables_number 12
_cell_length_a 20.090
_cell_length_b 5.319
_cell_length_c 7.143
_cell_angle_alpha 90.00
_cell_angle_beta 104.29
_cell_angle_gamma 90.00
loop_
_symmetry_equiv_pos_as_xyz
'x,y,z'
'-x,-y,-z'
'-x,y,-z'
'x,-y,z'
'x+1/2,y+1/2,z'
'-x+1/2,-y+1/2,-z'
'-x+1/2,y+1/2,-z'
'x+1/2,-y+1/2,z'
loop_
_atom_site_label
_atom_site_fract_x
_atom_site_fract_y
_atom_site_fract_z
Pr1 0.017 0.000 0.264
Pr2 0.093 0.500 0.981
Pr3 0.160 0.500 0.497
Pr4 0.213 0.000 0.823
Tl1 0.000 0.500 0.500
Sn1 0.180 0.000 0.252
```

Summary:
The value obtained for the formation energy is -0.325 eV/atom. The calculation puts the magnetic moment at 0.00 μB/cell. The value obtained for the density is 7.045 g/cm³. The calculation puts the density of states at the Fermi level at 13.436 states/eV/f.u. The total energy is -4.744 eV/atom.

=====

Entry 2:
This record from Alexandria describes crystalline Pr5Tl4Sn at its relaxed geometry. The functional is PBE.

Cell and atoms, written as CIF:
```
data_Pr5Tl4Sn
_symmetry_space_group_name_H-M 'P 4/m m m'
_symmetry_Int_Tables_number 123
_symmetry_space_group_name_Hall '-P 4 2'
_cell_length_a 3.775
_cell_length_b 3.775
_cell_length_c 21.197
_cell_angle_alpha 90.00
_cell_angle_beta 90.00
_cell_angle_gamma 90.00
loop_
_atom_site_label
_atom_site_fract_x
_atom_site_fract_y
_atom_site_fract_z
Pr1 0.000 0.000 0.000
Pr2 0.000 0.000 0.200
Pr3 0.000 0.000 0.402
Tl1 0.500 0.500 0.100
Tl2 0.500 0.500 0.299
Sn1 0.500 0.500 0.500
```

Summary:
The value obtained for the formation energy is -0.449 eV/atom. The calculation puts the magnetic moment at 0.00 μB/cell. The value obtained for the density is 9.019 g/cm³. The calculation puts the density of states at the Fermi level at 6.742 states/eV/f.u. The total energy is -4.185 eV/atom.

=====

Entry 3:
This record from Alexandria describes crystalline Pr2Tl3Sn3 at its relaxed geometry. The functional is PBE.

Cell and atoms, written as CIF:
```
data_Pr2Tl3Sn3
_symmetry_space_group_name_H-M 'P m m m'
_symmetry_Int_Tables_number 47
_cell_length_a 4.737
_cell_length_b 4.776
_cell_length_c 9.919
_cell_angle_alpha 90.00
_cell_angle_beta 90.00
_cell_angle_gamma 90.00
loop_
_symmetry_equiv_pos_as_xyz
'x,y,z'
'-x,-y,-z'
'-x,-y,z'
'x,y,-z'
'x,-y,-z'
'-x,y,z'
'-x,y,-z'
'x,-y,z'
loop_
_atom_site_label
_atom_site_fract_x
_atom_site_fract_y
_atom_site_fract_z
Pr1 0.000 0.000 0.241
Tl1 0.000 0.500 0.500
Tl2 0.500 0.500 0.250
Sn1 0.000 0.500 0.000
Sn2 0.500 0.000 0.000
Sn3 0.500 0.000 0.500
```

Summary:
The value obtained for the formation energy is -0.423 eV/atom. The calculation puts the magnetic moment at 0.00 μB/cell. The value obtained for the density is 9.258 g/cm³. The calculation puts the density of states at the Fermi level at 4.241 states/eV/f.u. The total energy is -4.006 eV/atom.

=====

Entry 4:
This record from Alexandria describes crystalline Pr2Tl3Sn at its relaxed geometry. The functional is PBE.

Cell and atoms, written as CIF:
```
data_Pr2Tl3Sn
_symmetry_space_group_name_H-M 'P m m 2'
_symmetry_Int_Tables_number 25
_cell_length_a 3.643
_cell_length_b 5.259
_cell_length_c 9.121
_cell_angle_alpha 90.00
_cell_angle_beta 90.00
_cell_angle_gamma 90.00
loop_
_symmetry_equiv_pos_as_xyz
'x,y,z'
'-x,-y,z'
'-x,y,z'
'x,-y,z'
loop_
_atom_site_label
_atom_site_fract_x
_atom_site_fract_y
_atom_site_fract_z
Pr1 0.000 0.000 0.000
Pr2 0.000 0.500 0.488
Tl1 0.500 0.000 0.662
Tl2 0.500 0.500 0.158
Tl3 0.500 0.500 0.825
Sn1 0.500 0.000 0.329
```

Summary:
The value obtained for the formation energy is -0.317 eV/atom. The calculation puts the magnetic moment at 0.00 μB/cell. The value obtained for the density is 9.633 g/cm³. The calculation puts the density of states at the Fermi level at 2.056 states/eV/f.u. The total energy is -3.760 eV/atom.

=====

Entry 5:
This record from Alexandria describes crystalline Pr8Tl2Sn at its relaxed geometry. The functional is PBE.

Cell and atoms, written as CIF:
```
data_Pr8Tl2Sn
_symmetry_space_group_name_H-M 'C 1 2/m 1'
_symmetry_Int_Tables_number 12
_cell_length_a 19.745
_cell_length_b 5.425
_cell_length_c 7.187
_cell_angle_alpha 90.00
_cell_angle_beta 106.72
_cell_angle_gamma 90.00
loop_
_symmetry_equiv_pos_as_xyz
'x,y,z'
'-x,-y,-z'
'-x,y,-z'
'x,-y,z'
'x+1/2,y+1/2,z'
'-x+1/2,-y+1/2,-z'
'-x+1/2,y+1/2,-z'
'x+1/2,-y+1/2,z'
loop_
_atom_site_label
_atom_site_fract_x
_atom_site_fract_y
_atom_site_fract_z
Pr1 0.011 0.000 0.262
Pr2 0.092 0.500 0.971
Pr3 0.160 0.500 0.487
Pr4 0.208 0.000 0.822
Tl1 0.175 0.000 0.242
Sn1 0.000 0.500 0.500
```

Summary:
The value obtained for the formation energy is -0.242 eV/atom. The calculation puts the magnetic moment at 0.00 μB/cell. The value obtained for the density is 7.454 g/cm³. The calculation puts the density of states at the Fermi level at 12.644 states/eV/f.u. The total energy is -4.513 eV/atom.

=====

Entry 6:
This record from Alexandria describes crystalline Pr5Tl2Sn2 at its relaxed geometry. The functional is PBE.

Cell and atoms, written as CIF:
```
data_Pr5Tl2Sn2
_symmetry_space_group_name_H-M 'C m c e'
_symmetry_Int_Tables_number 64
_symmetry_space_group_name_Hall '-C 2ac 2'
_cell_length_a 16.369
_cell_length_b 8.509
_cell_length_c 8.438
_cell_angle_alpha 90.00
_cell_angle_beta 90.00
_cell_angle_gamma 90.00
loop_
_atom_site_label
_atom_site_fract_x
_atom_site_fract_y
_atom_site_fract_z
Pr1 0.000 0.000 0.000
Pr2 0.142 0.177 0.329
Tl1 0.000 0.126 0.626
Sn1 0.205 0.000 0.000
```

Summary:
The value obtained for the formation energy is -0.532 eV/atom. The value obtained for the energy above the most stable polymorph in this dataset is 0.011 eV per atom. The calculation puts the magnetic moment at 0.00 μB/cell. The value obtained for the density is 7.634 g/cm³. The calculation puts the density of states at the Fermi level at 7.977 states/eV/f.u. The total energy is -4.602 eV/atom.

=====

Entry 7:
This record from Alexandria describes crystalline Pr6Tl6Sn at its relaxed geometry. The functional is PBE.

Cell and atoms, written as CIF:
```
data_Pr6Tl6Sn
_symmetry_space_group_name_H-M 'P 6/m m m'
_symmetry_Int_Tables_number 191
_symmetry_space_group_name_Hall '-P 6 2'
_cell_length_a 6.6822
_cell_length_b 6.6822
_cell_length_c 10.8118
_cell_angle_alpha 90.00
_cell_angle_beta 90.00
_cell_angle_gamma 120.00
loop_
_atom_site_label
_atom_site_fract_x
_atom_site_fract_y
_atom_site_fract_z
Pr1 0.0000 0.0000 0.2043
Pr2 0.3333 0.6667 0.0000
Pr3 0.3333 0.6667 0.5000
Tl1 0.0000 0.5000 0.2470
Sn1 0.0000 0.0000 0.5000
```

Summary:
The value obtained for the formation energy is -0.271 eV/atom. The calculation puts the magnetic moment at 0.01 μB/cell. The value obtained for the density is 8.700 g/cm³. The calculation puts the density of states at the Fermi level at 16.812 states/eV/f.u. The total energy is -3.877 eV/atom.

=====

Entry 8:
This record from Alexandria describes crystalline Pr6Tl2Sn at its relaxed geometry. The functional is PBE.

Cell and atoms, written as CIF:
```
data_Pr6Tl2Sn
_symmetry_space_group_name_H-M 'P -6 2 m'
_symmetry_Int_Tables_number 189
_symmetry_space_group_name_Hall 'P -6 -2'
_cell_length_a 8.7615
_cell_length_b 8.7615
_cell_length_c 4.4360
_cell_angle_alpha 90.00
_cell_angle_beta 90.00
_cell_angle_gamma 120.00
loop_
_atom_site_label
_atom_site_fract_x
_atom_site_fract_y
_atom_site_fract_z
Pr1 0.0000 0.2734 0.0000
Pr2 0.0000 0.6043 0.5000
Tl1 0.3333 0.6667 0.0000
Sn1 0.0000 0.0000 0.5000
```

Summary:
The value obtained for the formation energy is -0.367 eV/atom. The calculation puts the magnetic moment at 0.04 μB/cell. The value obtained for the density is 7.731 g/cm³. The calculation puts the density of states at the Fermi level at 14.261 states/eV/f.u. The total energy is -4.524 eV/atom.

=====

Entry 9:
This record from Alexandria describes crystalline Pr4TlSn3 at its relaxed geometry. The functional is PBE.

Cell and atoms, written as CIF:
```
data_Pr4TlSn3
_symmetry_space_group_name_H-M 'P m m 2'
_symmetry_Int_Tables_number 25
_cell_length_a 4.449
_cell_length_b 4.722
_cell_length_c 11.899
_cell_angle_alpha 90.00
_cell_angle_beta 90.00
_cell_angle_gamma 90.00
loop_
_symmetry_equiv_pos_as_xyz
'x,y,z'
'-x,-y,z'
'-x,y,z'
'x,-y,z'
loop_
_atom_site_label
_atom_site_fract_x
_atom_site_fract_y
_atom_site_fract_z
Pr1 0.000 0.000 0.000
Pr2 0.000 0.500 0.497
Pr3 0.500 0.000 0.725
Pr4 0.500 0.500 0.225
Tl1 0.000 0.500 0.773
Sn1 0.000 0.000 0.274
Sn2 0.500 0.000 0.450
Sn3 0.500 0.500 0.948
```

Summary:
The value obtained for the formation energy is -0.687 eV/atom. The calculation puts the magnetic moment at 0.00 μB/cell. The value obtained for the density is 7.466 g/cm³. The calculation puts the density of states at the Fermi level at 6.914 states/eV/f.u. The total energy is -4.874 eV/atom.

=====

Entry 10:
This record from Alexandria describes crystalline Pr5Tl2Sn2 at its relaxed geometry. The functional is PBE.

Cell and atoms, written as CIF:
```
data_Pr5Tl2Sn2
_symmetry_space_group_name_H-M 'C m c e'
_symmetry_Int_Tables_number 64
_symmetry_space_group_name_Hall '-C 2ac 2'
_cell_length_a 16.465
_cell_length_b 8.403
_cell_length_c 8.429
_cell_angle_alpha 90.00
_cell_angle_beta 90.00
_cell_angle_gamma 90.00
loop_
_atom_site_label
_atom_site_fract_x
_atom_site_fract_y
_atom_site_fract_z
Pr1 0.000 0.000 0.000
Pr2 0.135 0.181 0.326
Tl1 0.212 0.000 0.000
Sn1 0.000 0.125 0.628
```

Summary:
The value obtained for the formation energy is -0.543 eV/atom. The value obtained for the energy above the most stable polymorph in this dataset is 0.000 eV per atom. The calculation puts the magnetic moment at 0.00 μB/cell. The value obtained for the density is 7.693 g/cm³. The calculation puts the density of states at the Fermi level at 10.671 states/eV/f.u. The total energy is -4.614 eV/atom.

=====

Entry 11:
This record from Alexandria describes crystalline PrTl2Sn at its relaxed geometry. The functional is PBE.

Cell and atoms, written as CIF:
```
data_PrTl2Sn
_symmetry_space_group_name_H-M 'P 4/m m m'
_symmetry_Int_Tables_number 123
_symmetry_space_group_name_Hall '-P 4 2'
_cell_length_a 4.735
_cell_length_b 4.735
_cell_length_c 5.038
_cell_angle_alpha 90.00
_cell_angle_beta 90.00
_cell_angle_gamma 90.00
loop_
_atom_site_label
_atom_site_fract_x
_atom_site_fract_y
_atom_site_fract_z
Pr1 0.000 0.000 0.000
Tl1 0.000 0.500 0.500
Sn1 0.500 0.500 0.000
```

Summary:
The value obtained for the formation energy is -0.392 eV/atom. The value obtained for the energy above the most stable polymorph in this dataset is 0.000 eV per atom. The calculation puts the magnetic moment at 0.00 μB/cell. The value obtained for the density is 9.826 g/cm³. The calculation puts the density of states at the Fermi level at 1.984 states/eV/f.u. The total energy is -3.771 eV/atom.